LaCo4W | PBE | optimized geometry

POSCAR file:
```
LaCo4W
1.0
0.0000 3.4774 3.4774
3.4774 0.0000 3.4774
3.4774 3.4774 0.0000
Co W La
4 1 1
Direct
0.3746 0.8762 0.3746 Co
0.3746 0.3746 0.8762 Co
0.3746 0.3746 0.3746 Co
0.8762 0.3746 0.3746 Co
0.0000 0.0000 0.0000 W
0.7500 0.7500 0.7500 La
```

Output
ΔH_f (0 K)	0.32	eV per atom



LiNd2Al3Pd4 | PBE | optimized geometry

POSCAR file:
```
LiNd2Al3Pd4
1.0
4.3255 0.0000 0.0000
0.0000 4.3255 0.0000
0.0000 0.0000 10.3080
Nd Pd Al Li
2 4 3 1
Direct
0.0000 0.5000 0.7527 Nd
0.5000 0.0000 0.2473 Nd
0.5000 0.5000 0.0000 Pd
0.0000 0.5000 0.3687 Pd
0.0000 0.0000 0.0000 Pd
0.5000 0.0000 0.6313 Pd
0.0000 0.5000 0.1256 Al
0.0000 0.0000 0.5000 Al
0.5000 0.0000 0.8744 Al
0.5000 0.5000 0.5000 Li
```

Output
ΔH_f (0 K)	-0.78	eV per atom



GaAg3Au6 | PBE | optimized geometry

POSCAR file:
```
GaAg3Au6
1.0
-1.7670 1.2837 7.3996
-2.7121 -6.4498 0.4713
5.9412 -2.2619 3.2350
Au Ag Ga
12 6 2
Direct
0.1801 0.2874 0.0828 Au
0.2279 0.6129 0.7929 Au
0.1649 0.4030 0.4598 Au
0.3199 0.7874 0.4172 Au
0.6801 0.2126 0.5828 Au
0.3351 0.9030 0.0402 Au
0.7279 0.8871 0.2929 Au
0.2721 0.1129 0.7071 Au
0.6649 0.0970 0.9598 Au
0.8199 0.7126 0.9172 Au
0.8351 0.5970 0.5402 Au
0.7721 0.3871 0.2071 Au
0.9429 0.3398 0.8119 Ag
0.0571 0.6602 0.1881 Ag
0.4429 0.1602 0.3119 Ag
0.5571 0.8398 0.6881 Ag
0.0000 0.0000 0.5000 Ag
0.5000 0.5000 0.0000 Ag
0.5000 0.5000 0.5000 Ga
0.0000 0.0000 0.0000 Ga
```

Output
E above lowest polymorph	0.64	eV/f.u.
ΔH_f (0 K)	0.00	eV per atom



LaGa2CuPd4 | PBE | optimized geometry

POSCAR file:
```
LaGa2CuPd4
1.0
-1.9854 3.5787 1.3338
-0.6084 0.6835 4.2060
6.9164 5.5693 2.2980
Ga Pd La Cu
2 4 1 1
Direct
0.7662 0.7662 0.7013 Ga
0.2338 0.2338 0.2987 Ga
0.1315 0.1315 0.6056 Pd
0.8685 0.8685 0.3944 Pd
0.4035 0.4035 0.7894 Pd
0.5965 0.5965 0.2106 Pd
0.0000 0.0000 0.0000 La
0.5000 0.5000 0.5000 Cu
```

Output
ΔH_f (0 K)	-0.63	eV per atom



CaAg2Sb | PBE | optimized geometry

POSCAR file:
```
CaAg2Sb
1.0
-1.1979 3.9474 1.7300
0.8579 -1.5412 4.1108
4.3149 1.4636 -0.3518
Ag Sb Ca
2 1 1
Direct
0.5000 0.5000 0.0000 Ag
0.0000 0.0000 0.0000 Ag
0.0000 0.5000 0.5000 Sb
0.5000 0.0000 0.5000 Ca
```



Ac4Pt2BrCl | PBE | optimized geometry

POSCAR file:
```
Ac4Pt2BrCl
1.0
6.2428 0.3383 0.0000
-0.3418 6.2426 0.0000
-2.9505 -3.2905 6.3661
Pt Ac Cl Br
2 4 1 1
Direct
0.6873 0.1873 0.5000 Pt
0.1873 0.6873 0.5000 Pt
0.4369 0.9372 0.0000 Ac
0.1909 0.1909 0.5073 Ac
0.6836 0.6836 0.4927 Ac
0.9372 0.4369 0.0000 Ac
0.4373 0.4373 0.0000 Cl
0.9368 0.9368 0.0000 Br
```



In eV per atom, the total energy values for the records above are, in order, -7.397, -5.129, -3.122, -5.112, -3.278, -5.231.